Entry 1:
Crystalline YHo2Bi at its relaxed geometry, computed with PBE-GGA.

## Properties
spin magnetization: 0.0 μB per formula unit
calculated formation energy: -0.20 eV per atom
energy: -60.9 eV per cell

a = 3.6295 Å, b = 3.6295 Å, c = 32.5176 Å
α = 90.00°, β = 90.00°, γ = 120.00°
Last column: nearest neighbours and their distance in Å.
Space group R-3m (No. 166, hexagonal axes)
Asymmetric unit:
Y (0.0000, 0.0000, 0.0000) x3  6 Ho 3.52, 6 Y 3.63
Ho (0.0000, 0.0000, 0.2463) x6  3 Bi 3.33, 3 Y 3.52, 6 Ho 3.63
Bi (0.0000, 0.0000, 0.5000) x3  6 Ho 3.33, 6 Bi 3.63



Entry 2:
Crystalline Ir2RuPt at its relaxed geometry, computed with PBE-GGA.

## Properties
spin magnetization: 0.6 μB per formula unit
calculated formation energy: 0.32 eV per atom
energy: -31.8 eV per cell

a = 2.6902 Å, b = 4.7069 Å, c = 4.7597 Å
α = 90.00°, β = 90.00°, γ = 90.00°
Last column: nearest neighbours and their distance in Å.
Space group Pmmm (No. 47)
Asymmetric unit:
Ir (0.0000, 0.0000, 0.0000) x1  6 Ir 2.69-2.73, 4 Pt 2.71
Ir (0.5000, 0.0000, 0.5000) x1  6 Ir 2.69-2.73, 4 Ru 2.71
Ru (0.0000, 0.5000, 0.5000) x1  2 Ru 2.69, 4 Ir 2.71, 4 Pt 2.73
Pt (0.5000, 0.5000, 0.0000) x1  2 Pt 2.69, 4 Ir 2.71, 4 Ru 2.73